A plane-wave DFT calculation with PBE was carried out for MnAs2S after structural relaxation.

Cell: 5.591 5.591 11.633 Å, 90.00 90.00 90.00°
Space group I-42d (No. 122)
Inequivalent atoms, fractional coordinates:
Mn1 0.000 0.000 0.000 (multiplicity 4)
As1 0.219 0.250 0.125 (multiplicity 8)
S1 0.000 0.000 0.500 (multiplicity 4)

Computed properties:
formation energy (no corrections) = 0.31 eV per atom
Fermi-level density of states = 0.533 states/eV per atom
volume = 22.7 Å³/atom

A plane-wave DFT calculation with PBE was carried out for Mn2AsS after structural relaxation.

Cell: 5.285 5.285 9.668 Å, 90.00 90.00 90.00°
Space group I-42d (No. 122)
Inequivalent atoms, fractional coordinates:
Mn1 0.223 0.250 0.125 (multiplicity 8)
As1 0.000 0.000 0.500 (multiplicity 4)
S1 0.000 0.000 0.000 (multiplicity 4)

Computed properties:
formation energy (no corrections) = 0.10 eV per atom
Fermi-level density of states = 1.579 states/eV per atom
volume = 16.9 Å³/atom

A plane-wave DFT calculation with PBE was carried out for Mn3AsS after structural relaxation.

Cell: 4.283 4.283 4.283 Å, 90.00 90.00 90.00°
Space group Pm-3m (No. 221)
Inequivalent atoms, fractional coordinates:
Mn1 0.000 0.000 0.500 (multiplicity 3)
As1 0.500 0.500 0.500 (multiplicity 1)
S1 0.000 0.000 0.000 (multiplicity 1)

Computed properties:
formation energy (no corrections) = 0.26 eV per atom
Fermi-level density of states = 1.099 states/eV per atom
volume = 15.7 Å³/atom
excess energy over the best structure of this formula in the dataset = 0.0000 eV per atom

A plane-wave DFT calculation with PBE was carried out for Mn2AsS after structural relaxation.

Cell: 5.777 5.777 5.777 Å, 90.00 90.00 90.00°
Space group Fm-3m (No. 225)
Inequivalent atoms, fractional coordinates:
Mn1 0.250 0.250 0.250 (multiplicity 8)
As1 0.000 0.000 0.000 (multiplicity 4)
S1 0.000 0.000 0.500 (multiplicity 4)

Computed properties:
formation energy (no corrections) = 0.12 eV per atom
Fermi-level density of states = 0.760 states/eV per atom
volume = 12.0 Å³/atom

A plane-wave DFT calculation with PBE was carried out for Mn2AsS2 after structural relaxation.

Cell: 4.798 4.798 4.363 Å, 90.00 90.00 90.00°
Space group P4/mmm (No. 123)
Inequivalent atoms, fractional coordinates:
Mn1 0.000 0.000 0.000 (multiplicity 1)
Mn2 0.500 0.500 0.000 (multiplicity 1)
As1 0.000 0.000 0.500 (multiplicity 1)
S1 0.000 0.500 0.500 (multiplicity 2)

Computed properties:
formation energy (no corrections) = 1.58 eV per atom
Fermi-level density of states = 2.021 states/eV per atom
volume = 20.1 Å³/atom

A plane-wave DFT calculation with PBE was carried out for Mn2AsS4 after structural relaxation.

Cell: 6.585 6.585 11.640 Å, 90.00 90.00 90.00°
Space group I4_1/a (No. 88, origin choice 2)
Inequivalent atoms, fractional coordinates:
Mn1 0.000 0.000 0.000 (multiplicity 8)
As1 0.000 0.250 0.625 (multiplicity 4)
S1 0.148 0.445 0.822 (multiplicity 16)

Computed properties:
formation energy (no corrections) = -0.20 eV per atom
Fermi-level density of states = 0.346 states/eV per atom
volume = 18.0 Å³/atom

A plane-wave DFT calculation with PBE was carried out for MnAsS3 after structural relaxation.

Cell: 4.706 4.706 4.706 Å, 90.00 90.00 90.00°
Space group Pm-3m (No. 221)
Inequivalent atoms, fractional coordinates:
Mn1 0.000 0.000 0.000 (multiplicity 1)
As1 0.500 0.500 0.500 (multiplicity 1)
S1 0.000 0.500 0.500 (multiplicity 3)

Computed properties:
formation energy (no corrections) = 0.51 eV per atom
Fermi-level density of states = 0.565 states/eV per atom
volume = 20.8 Å³/atom

A plane-wave DFT calculation with PBE was carried out for MnAsS3 after structural relaxation.

Cell: 4.410 4.410 4.410 Å, 90.00 90.00 90.00°
Space group Pm-3m (No. 221)
Inequivalent atoms, fractional coordinates:
Mn1 0.000 0.000 0.000 (multiplicity 1)
As1 0.500 0.500 0.500 (multiplicity 1)
S1 0.000 0.000 0.500 (multiplicity 3)

Computed properties:
formation energy (no corrections) = 0.45 eV per atom
Fermi-level density of states = 1.175 states/eV per atom
volume = 17.2 Å³/atom

A plane-wave DFT calculation with PBE was carried out for MnAs3S after structural relaxation.

Cell: 4.702 4.702 4.702 Å, 90.00 90.00 90.00°
Space group Pm-3m (No. 221)
Inequivalent atoms, fractional coordinates:
Mn1 0.000 0.000 0.000 (multiplicity 1)
As1 0.000 0.500 0.500 (multiplicity 3)
S1 0.500 0.500 0.500 (multiplicity 1)

Computed properties:
formation energy (no corrections) = 1.26 eV per atom
Fermi-level density of states = 1.258 states/eV per atom
volume = 20.8 Å³/atom
excess energy over the best structure of this formula in the dataset = 0.8450 eV per atom

A plane-wave DFT calculation with PBE was carried out for MnAs3S after structural relaxation.

Cell: 4.555 4.555 4.555 Å, 90.00 90.00 90.00°
Space group Pm-3m (No. 221)
Inequivalent atoms, fractional coordinates:
Mn1 0.000 0.000 0.000 (multiplicity 1)
As1 0.000 0.000 0.500 (multiplicity 3)
S1 0.500 0.500 0.500 (multiplicity 1)

Computed properties:
formation energy (no corrections) = 0.41 eV per atom
Fermi-level density of states = 0.909 states/eV per atom
volume = 18.9 Å³/atom
excess energy over the best structure of this formula in the dataset = 0.0000 eV per atom

A plane-wave DFT calculation with PBE was carried out for Mn3AsS7 after structural relaxation.

Cell: 10.951 7.193 5.827 Å, 90.00 93.12 90.00°
Space group Cm (No. 8)
Inequivalent atoms, fractional coordinates:
Mn1 0.000 0.000 0.000 (multiplicity 2)
Mn2 0.492 0.280 0.492 (multiplicity 4)
As1 0.011 0.500 0.013 (multiplicity 2)
S1 0.117 0.000 0.680 (multiplicity 2)
S2 0.123 0.226 0.199 (multiplicity 4)
S3 0.367 0.500 0.306 (multiplicity 2)
S4 0.384 0.260 0.824 (multiplicity 4)
S5 0.405 0.000 0.346 (multiplicity 2)

Computed properties:
formation energy (no corrections) = -0.36 eV per atom
Fermi-level density of states = 0.280 states/eV per atom
volume = 20.8 Å³/atom

A plane-wave DFT calculation with PBE was carried out for Mn2AsS after structural relaxation.

Cell: 3.5085 3.5085 18.6698 Å, 90.00 90.00 120.00°
Space group R3m (No. 160, hexagonal axes)
Inequivalent atoms, fractional coordinates:
Mn1 0.0000 0.0000 0.0000 (multiplicity 3)
Mn2 0.0000 0.0000 0.1620 (multiplicity 3)
As1 0.0000 0.0000 0.5787 (multiplicity 3)
S1 0.0000 0.0000 0.7508 (multiplicity 3)

Computed properties:
formation energy (no corrections) = -0.21 eV per atom
Fermi-level density of states = 0.567 states/eV per atom
volume = 16.6 Å³/atom

A plane-wave DFT calculation with PBE was carried out for MnAsSe2S after structural relaxation.

Cell: 5.060 5.060 4.514 Å, 90.00 90.00 90.00°
Space group P4/mmm (No. 123)
Inequivalent atoms, fractional coordinates:
Mn1 0.000 0.000 0.000 (multiplicity 1)
As1 0.000 0.000 0.500 (multiplicity 1)
Se1 0.000 0.500 0.500 (multiplicity 2)
S1 0.500 0.500 0.000 (multiplicity 1)

Computed properties:
formation energy (no corrections) = 1.17 eV per atom
Fermi-level density of states = 1.633 states/eV per atom
volume = 23.1 Å³/atom
excess energy over the best structure of this formula in the dataset = 0.6605 eV per atom

A plane-wave DFT calculation with PBE was carried out for MnAsSe2S after structural relaxation.

Cell: 4.623 4.623 4.767 Å, 90.00 90.00 90.00°
Space group P4/mmm (No. 123)
Inequivalent atoms, fractional coordinates:
Mn1 0.000 0.000 0.000 (multiplicity 1)
As1 0.000 0.000 0.500 (multiplicity 1)
Se1 0.000 0.500 0.000 (multiplicity 2)
S1 0.500 0.500 0.500 (multiplicity 1)

Computed properties:
formation energy (no corrections) = 0.51 eV per atom
Fermi-level density of states = 0.868 states/eV per atom
volume = 20.4 Å³/atom
excess energy over the best structure of this formula in the dataset = 0.0000 eV per atom

A plane-wave DFT calculation with PBE was carried out for MnAsSe2S after structural relaxation.

Cell: 4.744 4.744 4.771 Å, 90.00 90.00 90.00°
Space group P4/mmm (No. 123)
Inequivalent atoms, fractional coordinates:
Mn1 0.000 0.000 0.000 (multiplicity 1)
As1 0.500 0.500 0.000 (multiplicity 1)
Se1 0.000 0.500 0.500 (multiplicity 2)
S1 0.500 0.500 0.500 (multiplicity 1)

Computed properties:
formation energy (no corrections) = 1.22 eV per atom
Fermi-level density of states = 1.418 states/eV per atom
volume = 21.5 Å³/atom
excess energy over the best structure of this formula in the dataset = 0.7171 eV per atom

A plane-wave DFT calculation with PBE was carried out for MnSi2AsS after structural relaxation.

Cell: 4.482 4.482 4.871 Å, 90.00 90.00 90.00°
Space group P4/mmm (No. 123)
Inequivalent atoms, fractional coordinates:
Mn1 0.000 0.000 0.000 (multiplicity 1)
Si1 0.000 0.500 0.500 (multiplicity 2)
As1 0.500 0.500 0.000 (multiplicity 1)
S1 0.500 0.500 0.500 (multiplicity 1)

Computed properties:
formation energy (no corrections) = 0.91 eV per atom
Fermi-level density of states = 0.673 states/eV per atom
volume = 19.6 Å³/atom
excess energy over the best structure of this formula in the dataset = 0.2106 eV per atom

A plane-wave DFT calculation with PBE was carried out for MnSi2AsS after structural relaxation.

Cell: 4.704 4.704 4.377 Å, 90.00 90.00 90.00°
Space group P4/mmm (No. 123)
Inequivalent atoms, fractional coordinates:
Mn1 0.000 0.000 0.000 (multiplicity 1)
Si1 0.000 0.500 0.500 (multiplicity 2)
As1 0.500 0.500 0.000 (multiplicity 1)
S1 0.000 0.000 0.500 (multiplicity 1)

Computed properties:
formation energy (no corrections) = 0.70 eV per atom
Fermi-level density of states = 0.418 states/eV per atom
volume = 19.4 Å³/atom
excess energy over the best structure of this formula in the dataset = 0.0000 eV per atom

A plane-wave DFT calculation with PBE was carried out for Mn2Tl2AsS6 after structural relaxation.

Cell: 6.187 10.686 7.750 Å, 90.00 104.46 90.00°
Space group C2/m (No. 12)
Inequivalent atoms, fractional coordinates:
Mn1 0.000 0.168 0.000 (multiplicity 4)
Tl1 0.000 0.338 0.500 (multiplicity 4)
As1 0.000 0.500 0.000 (multiplicity 2)
S1 0.203 0.000 0.177 (multiplicity 4)
S2 0.230 0.326 0.178 (multiplicity 8)

Computed properties:
formation energy (no corrections) = -0.39 eV per atom
Fermi-level density of states = 0.371 states/eV per atom
volume = 22.6 Å³/atom

A plane-wave DFT calculation with PBE was carried out for MnTl2AsS after structural relaxation.

Cell: 5.599 5.599 4.678 Å, 90.00 90.00 90.00°
Space group P4/mmm (No. 123)
Inequivalent atoms, fractional coordinates:
Mn1 0.000 0.000 0.000 (multiplicity 1)
Tl1 0.000 0.500 0.500 (multiplicity 2)
As1 0.000 0.000 0.500 (multiplicity 1)
S1 0.500 0.500 0.000 (multiplicity 1)

Computed properties:
formation energy (no corrections) = 0.40 eV per atom
Fermi-level density of states = 0.414 states/eV per atom
volume = 29.3 Å³/atom

A plane-wave DFT calculation with PBE was carried out for UMnAsS after structural relaxation.

Cell: 4.126 4.126 8.026 Å, 90.00 90.00 90.00°
Space group P4/nmm (No. 129, origin choice 2)
Inequivalent atoms, fractional coordinates:
U1 0.250 0.250 0.226 (multiplicity 2)
Mn1 0.250 0.750 0.500 (multiplicity 2)
As1 0.250 0.250 0.654 (multiplicity 2)
S1 0.250 0.750 0.000 (multiplicity 2)

Computed properties:
formation energy (no corrections) = -0.72 eV per atom
Fermi-level density of states = 0.800 states/eV per atom
volume = 17.1 Å³/atom